Entry 1:
The following is a DFT calculation (meta-GGA SCAN) of a PBEsol-optimized structure of BaInOs.

a b c (Å): 4.548 4.548 4.725
angles (deg): 90.00 90.00 120.00
Atoms (fractional coordinates):
1 Ba 0.000 0.000 0.000
2 In 0.667 0.333 0.500
3 Os 0.333 0.667 0.500

Results
As for the symmetry: P-6m2 (187). The energy of formation from the pure elements is 396 meV/atom. The total energy is -47.8760 eV/atom.

=====

Entry 2:
The following is a DFT calculation (meta-GGA SCAN) of a PBEsol-optimized structure of SrZnPb2.

a b c (Å): 5.380 5.542 7.339
angles (deg): 90.00 90.00 90.00
Atoms (fractional coordinates):
1 Sr 0.000 0.000 0.000
2 Sr 0.500 0.500 0.000
3 Zn 0.000 0.000 0.500
4 Zn 0.500 0.500 0.500
5 Pb 0.000 0.500 0.295
6 Pb 0.000 0.500 0.705
7 Pb 0.500 0.000 0.295
8 Pb 0.500 0.000 0.705

Results
As for the symmetry: Cmmm (65). The energy of formation from the pure elements is -221 meV/atom. The total energy is -47.0591 eV/atom.